The following is a PBE calculation of an optimized crystal structure of TaIn, from Alexandria.

## Properties
Raw total energy in eV/atom: -7.01
Space-group type: P4/nmm

abc: 2.9524 2.9524 9.5764
angles: 90.00 90.00 90.00
Closest atoms and distances in Å follow each position.
Fractional positions:
1 Ta 0.2500 0.2500 0.1149  8 Ta 2.95-3.03, 4 In 3.09
2 Ta 0.7500 0.7500 0.8851  8 Ta 2.95-3.03, 4 In 3.09
3 In 0.2500 0.2500 0.6472  4 In 2.95, 4 Ta 3.09
4 In 0.7500 0.7500 0.3528  4 In 2.95, 4 Ta 3.09



The following is a PBE calculation of an optimized crystal structure of TaIn, from Alexandria.

## Properties
Raw total energy in eV/atom: -6.72
Space-group type: R-3m

abc: 5.6462 5.6462 5.6462
angles: 47.56 47.56 47.56
Closest atoms and distances in Å follow each position.
Fractional positions:
1 Ta 0.1691 0.1691 0.1691  3 Ta 2.63
2 Ta 0.8309 0.8309 0.8309  3 Ta 2.63
3 In 0.3888 0.3888 0.3888  7 Ta 3.09-3.29, 4 In 3.11-3.34
4 In 0.6112 0.6112 0.6112  7 Ta 3.09-3.29, 4 In 3.11-3.34



The following is a PBE calculation of an optimized crystal structure of TaIn2, from Alexandria.

## Properties
Raw total energy in eV/atom: -5.48
Space-group type: Cmcm

abc: 8.3303 8.3303 5.1601
angles: 90.00 90.00 158.64
Closest atoms and distances in Å follow each position.
Fractional positions:
1 Ta 0.2172 0.7828 0.7500  6 In 2.99-3.05, 6 Ta 3.09-3.19
2 Ta 0.7828 0.2172 0.2500  6 In 2.99-3.05, 6 Ta 3.09-3.19
3 In 0.1246 0.8754 0.2500  4 Ta 2.99-3.02, 8 In 3.09-3.35
4 In 0.4432 0.5568 0.2500  2 Ta 3.05, 10 In 3.09-3.35
5 In 0.5568 0.4432 0.7500  2 Ta 3.05, 10 In 3.09-3.35
6 In 0.8754 0.1246 0.7500  4 Ta 2.99-3.02, 8 In 3.09-3.35



The following is a PBE calculation of an optimized crystal structure of Ta3In, from Alexandria.

## Properties
Raw total energy in eV/atom: -9.35
Space-group type: Pmm2

abc: 2.8890 4.9514 5.3464
angles: 90.00 90.00 90.00
Closest atoms and distances in Å follow each position.
Fractional positions:
1 Ta 0.0000 0.0000 0.0000  8 Ta 2.89-3.03, 4 In 3.04
2 Ta 0.0000 0.5000 0.3001  8 Ta 2.89-3.12, 4 In 3.06
3 Ta 0.5000 0.5000 0.8183  10 Ta 2.89-3.12, 2 In 3.00
4 In 0.5000 0.0000 0.5004  2 In 2.89, 10 Ta 3.00-3.06



The following is a PBE calculation of an optimized crystal structure of Ta2In, from Alexandria.

## Properties
Raw total energy in eV/atom: -8.68
Space-group type: Pnma

abc: 6.4357 3.6409 9.8165
angles: 90.00 90.00 90.00
Closest atoms and distances in Å follow each position.
Fractional positions:
1 Ta 0.1162 0.2500 0.0922  6 Ta 2.86-2.97, 4 In 2.95-3.20
2 Ta 0.1195 0.2500 0.7448  4 Ta 2.86-2.91, 4 In 2.93-2.94
3 Ta 0.3805 0.7500 0.2448  4 Ta 2.86-2.91, 4 In 2.93-2.94
4 Ta 0.3838 0.7500 0.5922  6 Ta 2.86-2.97, 4 In 2.95-3.20
5 Ta 0.6162 0.2500 0.4078  6 Ta 2.86-2.97, 4 In 2.95-3.20
6 Ta 0.6195 0.2500 0.7552  4 Ta 2.86-2.91, 4 In 2.93-2.94
7 Ta 0.8805 0.7500 0.2552  4 Ta 2.86-2.91, 4 In 2.93-2.94
8 Ta 0.8838 0.7500 0.9078  6 Ta 2.86-2.97, 4 In 2.95-3.20
9 In 0.1399 0.2500 0.4178  9 Ta 2.93-3.21, 2 In 3.03
10 In 0.3601 0.7500 0.9178  9 Ta 2.93-3.21, 2 In 3.03
11 In 0.6399 0.2500 0.0822  9 Ta 2.93-3.21, 2 In 3.03
12 In 0.8601 0.7500 0.5822  9 Ta 2.93-3.21, 2 In 3.03



The following is a PBE calculation of an optimized crystal structure of TaIn, from Alexandria.

## Properties
Raw total energy in eV/atom: -5.90
Space-group type: P6_3/mmc

abc: 4.7963 4.7963 5.5304
angles: 90.00 90.00 120.00
Closest atoms and distances in Å follow each position.
Fractional positions:
1 Ta 0.3333 0.6667 0.2500  5 In 2.77
2 Ta 0.6667 0.3333 0.7500  5 In 2.77
3 In 0.3333 0.6667 0.7500  5 Ta 2.77
4 In 0.6667 0.3333 0.2500  5 Ta 2.77



The following is a PBE calculation of an optimized crystal structure of TaIn2, from Alexandria.

## Properties
Raw total energy in eV/atom: -5.45
Space-group type: I4/mmm

abc: 7.5437 7.5437 7.5437
angles: 157.09 157.09 32.63
Closest atoms and distances in Å follow each position.
Fractional positions:
1 Ta 0.0000 0.0000 0.0000  4 Ta 3.00, 8 In 3.07
2 In 0.3466 0.3466 0.0000  4 In 3.00, 4 Ta 3.07
3 In 0.6534 0.6534 0.0000  4 In 3.00, 4 Ta 3.07



The following is a PBE calculation of an optimized crystal structure of Ta4In, from Alexandria.

## Properties
Raw total energy in eV/atom: -9.94
Distance to the lowest polymorph of the same formula in meV/atom: 0
Space-group type: C2/m

abc: 7.2746 7.2746 2.9083
angles: 96.38 96.38 38.28
Closest atoms and distances in Å follow each position.
Fractional positions:
1 Ta 0.1041 0.1041 0.4229  6 Ta 2.75-2.95, 2 In 2.97
2 Ta 0.2928 0.2928 0.1940  7 Ta 2.75-2.93, 1 In 2.97
3 Ta 0.7072 0.7072 0.8060  7 Ta 2.75-2.93, 1 In 2.97
4 Ta 0.8959 0.8959 0.5771  6 Ta 2.75-2.95, 2 In 2.97
5 In 0.5000 0.5000 0.0000  2 In 2.91, 6 Ta 2.97



The following is a PBE calculation of an optimized crystal structure of TaIn, from Alexandria.

## Properties
Raw total energy in eV/atom: -6.98
Space-group type: Pmn2_1

abc: 12.8568 2.9340 7.2584
angles: 90.00 90.00 90.00
Closest atoms and distances in Å follow each position.
Fractional positions:
1 Ta 0.0000 0.2216 0.0000  4 Ta 2.67-2.93, 1 In 2.88
2 Ta 0.1063 0.9604 0.7018  4 Ta 2.67-2.93, 4 In 2.97-2.99
3 Ta 0.3937 0.0396 0.2018  4 Ta 2.67-2.93, 4 In 2.97-2.99
4 Ta 0.5000 0.7784 0.5000  4 Ta 2.67-2.93, 1 In 2.88
5 Ta 0.6063 0.0396 0.2018  4 Ta 2.67-2.93, 4 In 2.97-2.99
6 Ta 0.8937 0.9604 0.7018  4 Ta 2.67-2.93, 4 In 2.97-2.99
7 In 0.0000 0.6068 0.3648  4 Ta 2.88-3.20, 2 In 2.93
8 In 0.2224 0.5452 0.0128  2 In 2.93, 5 Ta 2.97-3.20
9 In 0.2776 0.4548 0.5128  2 In 2.93, 5 Ta 2.97-3.20
10 In 0.5000 0.3932 0.8648  4 Ta 2.88-3.20, 2 In 2.93
11 In 0.7224 0.4548 0.5128  2 In 2.93, 5 Ta 2.97-3.20
12 In 0.7776 0.5452 0.0128  2 In 2.93, 5 Ta 2.97-3.20



The following is a PBE calculation of an optimized crystal structure of Ta3In, from Alexandria.

## Properties
Raw total energy in eV/atom: -9.52
Space-group type: P4/mmm

abc: 3.4468 3.4468 6.3967
angles: 90.00 90.00 90.00
Closest atoms and distances in Å follow each position.
Fractional positions:
1 Ta 0.0000 0.0000 0.0000  8 Ta 2.85
2 Ta 0.5000 0.5000 0.2309  5 Ta 2.85-2.95, 4 In 2.98
3 Ta 0.5000 0.5000 0.7691  5 Ta 2.85-2.95, 4 In 2.98
4 In 0.0000 0.0000 0.5000  10 Ta 2.98-3.20



The following is a PBE calculation of an optimized crystal structure of TaIn3, from Alexandria.

## Properties
Raw total energy in eV/atom: -4.61
Space-group type: Pm-3m

abc: 4.4269 4.4269 4.4269
angles: 90.00 90.00 90.00
Closest atoms and distances in Å follow each position.
Fractional positions:
1 Ta 0.0000 0.0000 0.0000  12 In 3.13
2 In 0.0000 0.5000 0.5000  4 Ta 3.13, 8 In 3.13
3 In 0.5000 0.0000 0.5000  4 Ta 3.13, 8 In 3.13
4 In 0.5000 0.5000 0.0000  4 Ta 3.13, 8 In 3.13



The following is a PBE calculation of an optimized crystal structure of Ta3In, from Alexandria.

## Properties
Raw total energy in eV/atom: -9.39
Space-group type: Cmmm

abc: 5.2536 5.2536 2.9560
angles: 90.00 90.00 111.37
Closest atoms and distances in Å follow each position.
Fractional positions:
1 Ta 0.0000 0.0000 0.0000  10 Ta 2.96-3.01, 2 In 2.96
2 Ta 0.0000 0.5000 0.5000  8 Ta 2.96-3.01, 4 In 3.01
3 Ta 0.5000 0.0000 0.5000  8 Ta 2.96-3.01, 4 In 3.01
4 In 0.5000 0.5000 0.0000  2 In 2.96, 10 Ta 2.96-3.01